Arrangement a

Entry from Alexandria via LeMat-Bulk: crystalline TiSb2TeRh at its relaxed geometry (PBE-GGA).

## Properties
**D(E_F)**: 4.91 states/eV/f.u.
**Magnetization**: 0.0 μB/f.u.
**V**: 137.7 Å³/f.u.

The structure in CIF format:
```
data_TiSb2TeRh
_chemical_formula_sum 'Ti1 Sb2 Te1 Rh1'
_cell_length_a 5.169
_cell_length_b 5.169
_cell_length_c 5.155
_cell_angle_alpha 90.00
_cell_angle_beta 90.00
_cell_angle_gamma 90.00
_space_group_name_H-M_alt 'P 4/m m m'
_space_group_IT_number 123
_space_group_name_Hall '-P 4 2'
loop_
_atom_site_label
_atom_site_type_symbol
_atom_site_fract_x
_atom_site_fract_y
_atom_site_fract_z
Ti1 Ti 0.000 0.000 0.000
Sb1 Sb 0.000 0.500 0.000
Te1 Te 0.000 0.000 0.500
Rh1 Rh 0.500 0.500 0.500
```

=====

Arrangement b

Entry from Alexandria via LeMat-Bulk: crystalline TiSb2TeRh at its relaxed geometry (PBE-GGA).

## Properties
**D(E_F)**: 7.12 states/eV/f.u.
**Magnetization**: 0.0 μB/f.u.
**V**: 135.9 Å³/f.u.

The structure in CIF format:
```
data_TiSb2TeRh
_chemical_formula_sum 'Ti1 Sb2 Te1 Rh1'
_cell_length_a 5.043
_cell_length_b 5.043
_cell_length_c 5.346
_cell_angle_alpha 90.00
_cell_angle_beta 90.00
_cell_angle_gamma 90.00
_space_group_name_H-M_alt 'P 4/m m m'
_space_group_IT_number 123
_space_group_name_Hall '-P 4 2'
loop_
_atom_site_label
_atom_site_type_symbol
_atom_site_fract_x
_atom_site_fract_y
_atom_site_fract_z
Ti1 Ti 0.000 0.000 0.000
Sb1 Sb 0.000 0.500 0.500
Te1 Te 0.500 0.500 0.000
Rh1 Rh 0.500 0.500 0.500
```

=====

Most stable pick: arrangement b. Distance to second place: 7.2 kJ/mol of atoms.